Record 1
Compound: Ce2HoCdC
Source: the Alexandria database
Functional: GGA-PBE
Structure: optimized geometry

The structure belongs to space group P4/mmm (No. 123); the cell edges are 4.9591, 4.9591 and 4.9536 Å and the angles 90.00°, 90.00° and 90.00°. The distinct sites, in fractional coordinates, are Ce at (0.0000, 0.5000, 0.0000), Ho at (0.0000, 0.0000, 0.5000), Cd at (0.5000, 0.5000, 0.5000) and C at (0.0000, 0.0000, 0.0000).

Its theoretical density is 7.764 Mg/m³. For the total energy, the calculation gives -5.521 eV/atom. For the volume, the calculation gives 121.8 Å³ per cell. As for the formation enthalpy at 0 K: -0.20 eV per atom.

---

Record 2
Compound: CeHo2CdC
Source: the Alexandria database
Functional: GGA-PBE
Structure: optimized geometry

The structure belongs to space group P4/mmm (No. 123); the cell edges are 4.9335, 4.9335 and 4.9037 Å and the angles 90.00°, 90.00° and 90.00°. The distinct sites, in fractional coordinates, are Ce at (0.0000, 0.0000, 0.0000), Ho at (0.0000, 0.5000, 0.5000), Cd at (0.5000, 0.5000, 0.0000) and C at (0.0000, 0.0000, 0.5000).

Its theoretical density is 8.270 Mg/m³. For the total energy, the calculation gives -5.314 eV/atom. For the volume, the calculation gives 119.4 Å³ per cell. As for the formation enthalpy at 0 K: -0.27 eV per atom.